# V2GePt2

An optimized crystal structure of V2GePt2 (PBE, Alexandria).

Structure (CIF):
```
data_V2GePt2
_chemical_formula_sum 'V4 Ge2 Pt4'
_cell_length_a 7.593
_cell_length_b 7.593
_cell_length_c 2.733
_cell_angle_alpha 90.00
_cell_angle_beta 90.00
_cell_angle_gamma 90.00
_space_group_name_H-M_alt 'P 4/m b m'
_space_group_IT_number 127
_space_group_name_Hall '-P 4 2ab'
loop_
_atom_site_label
_atom_site_fract_x
_atom_site_fract_y
_atom_site_fract_z
V1 0.167 0.333 0.000
Ge1 0.000 0.000 0.500
Pt1 0.129 0.629 0.500
```

The value obtained for the energy above the most stable polymorph in this dataset is 0.0000 eV per atom. The value obtained for the density of states at the Fermi level is 9.51 states/eV per cell. As for the calculated density: 11.904 Mg/m³. As for the size of the total moment: 0.2018 μB per atom.

# VGePt6

An optimized crystal structure of VGePt6 (PBE, Alexandria).

Structure (CIF):
```
data_VGePt6
_chemical_formula_sum 'V4 Ge4 Pt24'
_cell_length_a 5.520
_cell_length_b 7.825
_cell_length_c 11.354
_cell_angle_alpha 90.00
_cell_angle_beta 90.00
_cell_angle_gamma 90.00
_space_group_name_H-M_alt 'F m m m'
_space_group_IT_number 69
_space_group_name_Hall '-F 2 2'
loop_
_atom_site_label
_atom_site_fract_x
_atom_site_fract_y
_atom_site_fract_z
V1 0.000 0.000 0.000
Ge1 0.000 0.000 0.500
Pt1 0.000 0.000 0.242
Pt2 0.250 0.250 0.121
```

The value obtained for the density of states at the Fermi level is 31.36 states/eV per cell. As for the calculated density: 17.529 Mg/m³. As for the size of the total moment: 0.0002 μB per atom.

# VGe2Pt

An optimized crystal structure of VGe2Pt (PBE, Alexandria).

Structure (CIF):
```
data_VGe2Pt
_chemical_formula_sum 'V4 Ge8 Pt4'
_cell_length_a 6.997
_cell_length_b 6.997
_cell_length_c 5.642
_cell_angle_alpha 90.00
_cell_angle_beta 90.00
_cell_angle_gamma 90.00
_space_group_name_H-M_alt 'I -4 2 d'
_space_group_IT_number 122
_space_group_name_Hall 'I -4 2bw'
loop_
_atom_site_label
_atom_site_fract_x
_atom_site_fract_y
_atom_site_fract_z
V1 0.000 0.000 0.000
Ge1 0.234 0.750 0.625
Pt1 0.000 0.000 0.500
```

The value obtained for the density of states at the Fermi level is 17.84 states/eV per cell. As for the calculated density: 9.411 Mg/m³. As for the size of the total moment: 0.5308 μB per atom.

# V4GePt

An optimized crystal structure of V4GePt (PBE, Alexandria).

Structure (CIF):
```
data_V4GePt
_chemical_formula_sum 'V8 Ge2 Pt2'
_cell_length_a 7.459
_cell_length_b 4.307
_cell_length_c 5.152
_cell_angle_alpha 90.00
_cell_angle_beta 90.07
_cell_angle_gamma 90.00
_space_group_name_H-M_alt 'C 1 2/m 1'
_space_group_IT_number 12
loop_
_space_group_symop_operation_xyz
'x,y,z'
'-x,-y,-z'
'-x,y,-z'
'x,-y,z'
'x+1/2,y+1/2,z'
'-x+1/2,-y+1/2,-z'
'-x+1/2,y+1/2,-z'
'x+1/2,-y+1/2,z'
loop_
_atom_site_label
_atom_site_fract_x
_atom_site_fract_y
_atom_site_fract_z
V1 0.166 0.000 0.317
V2 0.167 0.000 0.834
Ge1 0.000 0.500 0.000
Pt1 0.000 0.500 0.500
```

The value obtained for the density of states at the Fermi level is 15.44 states/eV per cell. As for the calculated density: 9.460 Mg/m³. As for the size of the total moment: 0.0000 μB per atom.

# VGePt2

An optimized crystal structure of VGePt2 (PBE, Alexandria).

Structure (CIF):
```
data_VGePt2
_chemical_formula_sum 'V4 Ge4 Pt8'
_cell_length_a 5.550
_cell_length_b 5.550
_cell_length_c 11.341
_cell_angle_alpha 90.00
_cell_angle_beta 90.00
_cell_angle_gamma 90.00
_space_group_name_H-M_alt 'I -4 2 d'
_space_group_IT_number 122
_space_group_name_Hall 'I -4 2bw'
loop_
_atom_site_label
_atom_site_fract_x
_atom_site_fract_y
_atom_site_fract_z
V1 0.000 0.000 0.000
Ge1 0.000 0.000 0.500
Pt1 0.247 0.250 0.125
```

The value obtained for the density of states at the Fermi level is 10.61 states/eV per cell. As for the calculated density: 9.768 Mg/m³. As for the size of the total moment: 0.2708 μB per atom.

# V2Ge2Pt

An optimized crystal structure of V2Ge2Pt (PBE, Alexandria).

Structure (CIF):
```
data_V2Ge2Pt
_chemical_formula_sum 'V4 Ge4 Pt2'
_cell_length_a 6.481
_cell_length_b 6.481
_cell_length_c 3.519
_cell_angle_alpha 90.00
_cell_angle_beta 90.00
_cell_angle_gamma 90.00
_space_group_name_H-M_alt 'P 4/m b m'
_space_group_IT_number 127
_space_group_name_Hall '-P 4 2ab'
loop_
_atom_site_label
_atom_site_fract_x
_atom_site_fract_y
_atom_site_fract_z
V1 0.166 0.334 0.000
Ge1 0.135 0.635 0.500
Pt1 0.000 0.000 0.500
```

The value obtained for the energy above the most stable polymorph in this dataset is 0.0000 eV per atom. The value obtained for the density of states at the Fermi level is 8.15 states/eV per cell. As for the calculated density: 9.937 Mg/m³. As for the size of the total moment: 0.0000 μB per atom.

# V5Ge5Pt

An optimized crystal structure of V5Ge5Pt (PBE, Alexandria).

Structure (CIF):
```
data_V5Ge5Pt
_chemical_formula_sum 'V10 Ge10 Pt2'
_cell_length_a 9.726
_cell_length_b 4.956
_cell_length_c 8.117
_cell_angle_alpha 90.00
_cell_angle_beta 115.95
_cell_angle_gamma 90.00
_space_group_name_H-M_alt 'C 1 2/m 1'
_space_group_IT_number 12
loop_
_space_group_symop_operation_xyz
'x,y,z'
'-x,-y,-z'
'-x,y,-z'
'x,-y,z'
'x+1/2,y+1/2,z'
'-x+1/2,-y+1/2,-z'
'-x+1/2,y+1/2,-z'
'x+1/2,-y+1/2,z'
loop_
_atom_site_label
_atom_site_fract_x
_atom_site_fract_y
_atom_site_fract_z
V1 0.000 0.000 0.000
V2 0.111 0.500 0.213
V3 0.167 0.500 0.859
Ge1 0.000 0.500 0.500
Ge2 0.146 0.000 0.825
Ge3 0.195 0.000 0.361
Pt1 0.000 0.000 0.500
```

The value obtained for the density of states at the Fermi level is 15.54 states/eV per cell. As for the calculated density: 7.674 Mg/m³. As for the size of the total moment: 0.0181 μB per atom.

# V2GePt

An optimized crystal structure of V2GePt (PBE, Alexandria).

Structure (CIF):
```
data_V2GePt
_chemical_formula_sum 'V2 Ge1 Pt1'
_cell_length_a 3.727
_cell_length_b 3.727
_cell_length_c 4.091
_cell_angle_alpha 90.00
_cell_angle_beta 90.00
_cell_angle_gamma 90.00
_space_group_name_H-M_alt 'P 4/m m m'
_space_group_IT_number 123
_space_group_name_Hall '-P 4 2'
loop_
_atom_site_label
_atom_site_fract_x
_atom_site_fract_y
_atom_site_fract_z
V1 0.000 0.500 0.000
Ge1 0.000 0.000 0.500
Pt1 0.500 0.500 0.500
```

The value obtained for the density of states at the Fermi level is 3.81 states/eV per cell. As for the calculated density: 10.800 Mg/m³. As for the size of the total moment: 0.0000 μB per atom.

# VGe3Pt

An optimized crystal structure of VGe3Pt (PBE, Alexandria).

Structure (CIF):
```
data_VGe3Pt
_chemical_formula_sum 'V1 Ge3 Pt1'
_cell_length_a 4.692
_cell_length_b 4.692
_cell_length_c 4.692
_cell_angle_alpha 90.00
_cell_angle_beta 90.00
_cell_angle_gamma 90.00
_space_group_name_H-M_alt 'P m -3 m'
_space_group_IT_number 221
_space_group_name_Hall '-P 4 2 3'
loop_
_atom_site_label
_atom_site_fract_x
_atom_site_fract_y
_atom_site_fract_z
V1 0.000 0.000 0.000
Ge1 0.000 0.000 0.500
Pt1 0.500 0.500 0.500
```

The value obtained for the density of states at the Fermi level is 4.80 states/eV per cell. As for the calculated density: 7.458 Mg/m³. As for the size of the total moment: 0.2833 μB per atom.

# VZnGe2Pt

An optimized crystal structure of VZnGe2Pt (PBE, Alexandria).

Structure (CIF):
```
data_VZnGe2Pt
_chemical_formula_sum 'V1 Zn1 Ge2 Pt1'
_cell_length_a 4.554
_cell_length_b 4.554
_cell_length_c 4.604
_cell_angle_alpha 90.00
_cell_angle_beta 90.00
_cell_angle_gamma 90.00
_space_group_name_H-M_alt 'P 4/m m m'
_space_group_IT_number 123
_space_group_name_Hall '-P 4 2'
loop_
_atom_site_label
_atom_site_fract_x
_atom_site_fract_y
_atom_site_fract_z
V1 0.000 0.000 0.000
Zn1 0.000 0.000 0.500
Ge1 0.000 0.500 0.500
Pt1 0.500 0.500 0.000
```

The value obtained for the density of states at the Fermi level is 7.37 states/eV per cell. As for the calculated density: 7.941 Mg/m³. As for the size of the total moment: 0.0141 μB per atom.

# Ge2PtW

An optimized crystal structure of Ge2PtW (PBE, Alexandria).

Structure (CIF):
```
data_Ge2PtW
_chemical_formula_sum 'Ge8 Pt4 W4'
_cell_length_a 6.888
_cell_length_b 6.888
_cell_length_c 5.866
_cell_angle_alpha 90.00
_cell_angle_beta 90.00
_cell_angle_gamma 90.00
_space_group_name_H-M_alt 'I -4 2 d'
_space_group_IT_number 122
_space_group_name_Hall 'I -4 2bw'
loop_
_atom_site_label
_atom_site_fract_x
_atom_site_fract_y
_atom_site_fract_z
Ge1 0.236 0.750 0.125
Pt1 0.000 0.000 0.000
W1 0.000 0.000 0.500
```

The value obtained for the energy above the most stable polymorph in this dataset is 0.4094 eV per atom. The value obtained for the density of states at the Fermi level is 14.51 states/eV per cell. As for the calculated density: 12.512 Mg/m³. As for the size of the total moment: 0.0000 μB per atom.

# GePt2W

An optimized crystal structure of GePt2W (PBE, Alexandria).

Structure (CIF):
```
data_GePt2W
_chemical_formula_sum 'Ge4 Pt8 W4'
_cell_length_a 3.828
_cell_length_b 3.828
_cell_length_c 18.547
_cell_angle_alpha 90.00
_cell_angle_beta 90.00
_cell_angle_gamma 90.00
_space_group_name_H-M_alt 'I -4 2 d'
_space_group_IT_number 122
_space_group_name_Hall 'I -4 2bw'
loop_
_atom_site_label
_atom_site_fract_x
_atom_site_fract_y
_atom_site_fract_z
Ge1 0.000 0.000 0.000
Pt1 0.249 0.250 0.125
W1 0.000 0.000 0.500
```

The value obtained for the energy above the most stable polymorph in this dataset is 0.0137 eV per atom. The value obtained for the density of states at the Fermi level is 12.84 states/eV per cell. As for the calculated density: 15.802 Mg/m³. As for the size of the total moment: 0.0000 μB per atom.

Number 1: formation energy -0.233 eV/atom. Number 2: formation energy -0.288 eV/atom. Number 3: formation energy 0.078 eV/atom. Number 4: formation energy -0.264 eV/atom. Number 5: formation energy 0.116 eV/atom. Number 6: formation energy -0.217 eV/atom. Number 7: formation energy 0.156 eV/atom. Number 8: formation energy -0.382 eV/atom. Number 9: formation energy 0.604 eV/atom. Number 10: formation energy 1.029 eV/atom. Number 11: formation energy 0.488 eV/atom. Number 12: formation energy 0.241 eV/atom.